This record from the Alexandria database describes a relaxed structure of Cd2WO2. The functional is GGA+U.

Output
Excess energy over the best structure of this formula in the dataset   0 meV per atom
E   -0.2704 Ry per atom

a b c (Å): 4.1554 4.1554 9.5312
angles (deg): 90.00 90.00 90.00
With the nearest neighbours (Å) after each atom.
Space group I4/mmm (No. 139)
Inequivalent atoms, fractional coordinates:
Cd 0.0000 0.0000 0.1476 [4 per cell]  4 O 2.30
W 0.0000 0.0000 0.5000 [2 per cell]  8 O 3.16, 10 Cd 3.26-3.36
O 0.0000 0.5000 0.2500 [4 per cell]  4 Cd 2.30